Crystalline RePAu2O at its relaxed geometry. Source: the Alexandria database, functional PBE-GGA.

Computed properties:
- Uncorrected formation energy: 547 meV per atom

```
RePAu2O
1.0
5.182 0.000 0.000
0.000 5.182 0.000
0.000 0.000 3.657
Re P Au O
1 1 2 1
Cartesian
0.000 0.000 0.000 Re
2.591 2.591 1.828 P
0.000 2.591 0.000 Au
2.591 0.000 0.000 Au
0.000 0.000 1.828 O
```